Computed, not measured: CrTcMo2 after structural relaxation at the PBE level of DFT.

Computed properties:
The excess energy over the best structure of this formula in the dataset is 267 meV per atom. As for the energy relative to the elements: 0.3107 eV per atom. The final energy is -10.10 eV per atom.

Cell and atoms, written as POSCAR:
```
CrTcMo2
1.0
3.780 0.000 0.000
0.000 3.780 0.000
0.000 0.000 8.264
Cr Tc Mo
2 2 4
Direct
0.000 0.000 0.000
0.500 0.500 0.500
0.000 0.500 0.250
0.500 0.000 0.750
0.000 0.000 0.500
0.000 0.500 0.750
0.500 0.000 0.250
0.500 0.500 0.000
```